Here is a relaxed structure of LiCoSe2 from the Alexandria database. Energies are from GGA-PBE.

Cell and atoms, written as CIF:
```
data_LiCoSe2
_space_group_name_H-M_alt 'P 1'
_space_group_IT_number 1
_cell_length_a 3.819
_cell_length_b 3.819
_cell_length_c 6.973
_cell_angle_alpha 90.00
_cell_angle_beta 90.00
_cell_angle_gamma 125.00
loop_
_space_group_symop_operation_xyz
'x,y,z'
loop_
_atom_site_label
_atom_site_fract_x
_atom_site_fract_y
_atom_site_fract_z
_atom_site_occupancy
Li1 0.000 0.000 0.000 1
Co1 0.000 0.000 0.500 1
Se1 0.500 0.500 0.281 1
Se2 0.500 0.500 0.719 1
```

Output
D(E_F) = 3.84 states/eV/cell
total magnetic moment = 1.560 μB/cell
total energy = -4.237 eV/atom